No. 1
Below is a geometry-optimized BeAuSe structure, with properties calculated at the PBE-GGA level.

Structure (POSCAR):
```
BeAuSe
1.0
-1.3885 1.5346 6.3818
1.3885 -1.5346 6.3818
1.3885 1.5346 -6.3818
Be Au Se
1 1 1
direct
0.0000 0.0000 0.0000
0.6160 0.6160 0.0000
0.3797 0.3797 0.0000
```

Results
Uncorrected formation energy, eV/f.u.: 0.473



No. 2
Below is a geometry-optimized Pm4Pr2NdEr2 structure, with properties calculated at the PBE-GGA level.

Structure (POSCAR):
```
Pm4Pr2NdEr2
1.0
7.7249 -2.5747 0.0000
7.7249 2.5747 0.0000
-2.5891 0.0000 7.6881
Pm Pr Nd Er
4 2 1 2
direct
0.0557 0.0557 0.3309
0.2783 0.2783 0.6700
0.7217 0.7217 0.3300
0.9443 0.9443 0.6691
0.3881 0.3881 0.3321
0.6119 0.6119 0.6679
0.5000 0.5000 0.0000
0.1678 0.1678 0.0000
0.8322 0.8322 0.0000
```

Results
DFT total energy, eV per atom: -4.70



No. 3
Below is a geometry-optimized Sm3Ga7Ni2 structure, with properties calculated at the PBE-GGA level.

Structure (POSCAR):
```
Sm3Ga7Ni2
1.0
4.2470 0.0000 0.0000
0.0000 4.2296 0.0000
-2.1125 0.0000 12.9621
Sm Ga Ni
3 7 2
direct
0.0000 0.0000 0.0000
0.3182 0.5000 0.6380
0.6818 0.5000 0.3620
0.0873 0.5000 0.1728
0.2218 0.0000 0.4439
0.4136 0.0000 0.8274
0.5000 0.5000 0.0000
0.5864 0.0000 0.1726
0.7782 0.0000 0.5561
0.9127 0.5000 0.8272
0.1305 0.0000 0.2602
0.8695 0.0000 0.7398
```

Results
DFT total energy, eV per atom: -4.52



Number 1: size of the total moment 0.00 μB/cell. Number 2: size of the total moment 0.00 μB/cell. Number 3: size of the total moment 0.00 μB/cell.